This record from Alexandria via LeMat-Bulk describes LiPmNb4N8 after structural relaxation. The functional is PBE.

Output
The calculation puts the formation energy without anion corrections at -0.80 eV/atom.

abc: 6.3935 6.3935 6.4258
angles: 60.17 60.17 60.00
With the nearest neighbours (Å) after each atom.
Positions (direct):
Li  0.9986  0.9986  0.0041  6 N 2.21-2.36
Pm  0.3801  0.3801  0.8597  4 N 2.25-2.27
Nb  0.6227  0.6227  0.1319  4 N 1.96-2.15
Nb  0.0021  0.4840  0.5117  4 N 1.98-2.21
Nb  0.4840  0.0021  0.5117  4 N 1.98-2.21
Nb  0.0021  0.0021  0.5117  4 N 1.98-2.21
N  0.2395  0.8113  0.7098  2 Nb 1.98, 1 Li 2.21
N  0.8113  0.2395  0.7098  2 Nb 1.98, 1 Li 2.21
N  0.2395  0.2395  0.7098  2 Nb 1.98, 1 Li 2.21
N  0.2360  0.2360  0.2919  3 Nb 2.12, 1 Pm 2.27
N  0.7381  0.2488  0.2749  1 Nb 1.96
N  0.2488  0.7381  0.2749  1 Nb 1.96
N  0.7381  0.7381  0.2749  1 Nb 1.96
N  0.7589  0.7589  0.7232  4 Nb 2.15-2.21


This record from Alexandria via LeMat-Bulk describes Sr2NbIn after structural relaxation. The functional is PBE.

Output
The calculated formation energy comes out at 0.72 eV/atom. The density of states at the Fermi level is 8.25 states/eV/cell.

abc: 8.9777 8.9777 7.1208
angles: 50.92 50.92 90.00
With the nearest neighbours (Å) after each atom.
Positions (direct):
Sr  0.6241  0.1250  0.2500  2 Sr 3.23, 2 Nb 3.27, 2 In 3.28
Sr  0.1259  0.6250  0.2500  2 Sr 3.23, 2 Nb 3.27, 2 In 3.28
Sr  0.3750  0.3759  0.7500  2 Sr 3.23, 2 Nb 3.27, 2 In 3.28
Sr  0.8750  0.8741  0.7500  2 Sr 3.23, 2 Nb 3.27, 2 In 3.28
Nb  0.5000  0.5000  0.0000  2 In 3.23, 4 Sr 3.27
Nb  0.2500  0.7500  0.5000  2 In 3.23, 4 Sr 3.27
In  0.0000  0.0000  0.0000  2 Nb 3.23, 4 Sr 3.28
In  0.7500  0.2500  0.5000  2 Nb 3.23, 4 Sr 3.28


In order of appearance, magnetization = 0.00; 5.44 Bohr magnetons per cell.